8
Lattice="-2.358 3.850 -2.337 -5.006 -0.230 -0.857 -3.887 4.821 6.335" Properties=species:S:1:pos:R:3 comment="GGA-PBE LiDy4AlZn2, optimized geometry" e_form_ev_per_atom=-0.25 n_ef_per_ev_cell=8.22 dft_energy_ev_per_cell=-28.62 pbc="T T T"
Li -5.625 4.221 1.571
Dy -6.169 5.593 4.381
Dy -7.893 4.955 -0.460
Dy -3.358 3.486 3.602
Dy -5.081 2.848 -1.239
Al 0.000 0.000 0.000
Zn -8.427 6.304 2.301
Zn -2.823 2.138 0.841

=====

5
Lattice="-0.294 3.515 1.496 -1.046 -1.517 3.359 3.674 -0.151 1.076" Properties=species:S:1:pos:R:3 comment="GGA-PBE SmNbH3, optimized geometry" n_ef_per_ev_cell=1.84 dft_energy_ev_per_cell=-26.38 pbc="T T T"
H -0.523 -0.758 1.680
H 1.837 -0.075 0.538
H -0.147 1.757 0.748
Nb 0.000 0.000 0.000
Sm 1.167 0.924 2.965

=====

6
Lattice="5.729 0.000 0.000 2.865 4.962 0.000 2.865 1.654 4.678" Properties=species:S:1:pos:R:3 comment="GGA-PBE AcAg4Ge, optimized geometry" e_form_ev_per_atom=-0.14 n_ef_per_ev_cell=3.76 dft_energy_ev_per_cell=-20.95 pbc="T T T"
Ac 2.865 1.654 1.169
Ge 0.000 0.000 0.000
Ag 5.729 3.308 0.576
Ag 5.729 1.645 2.927
Ag 7.169 4.139 2.927
Ag 4.289 4.139 2.927

=====

40
Lattice="9.849 0.013 -0.008 4.858 8.567 -0.008 0.059 0.034 12.388" Properties=species:S:1:pos:R:3 comment="GGA-PBE Re3PbSe6, optimized geometry" raw_formation_energy_ev_per_atom=-0.400 dft_energy_ev_per_cell=-263.84 pbc="T T T"
Re 9.850 6.936 0.986
Re 3.800 3.400 5.277
Re 4.860 1.652 11.471
Re 10.915 5.177 7.180
Re 5.237 0.942 1.624
Re 11.306 4.474 4.612
Re 9.489 7.656 10.806
Re 3.427 4.112 7.818
Re 3.069 0.079 0.389
Re 13.099 5.940 5.872
Re 11.647 8.496 12.066
Re 1.608 2.650 6.583
Pb 8.791 2.316 2.746
Pb 6.372 6.529 8.940
Pb 7.048 1.001 6.109
Pb 4.370 5.660 12.303
Se 6.310 0.619 9.680
Se 11.131 3.424 8.984
Se 8.430 7.988 2.790
Se 3.615 5.171 3.486
Se 5.783 2.299 3.857
Se 10.175 4.656 2.251
Se 9.090 6.583 8.445
Se 4.877 3.920 10.051
Se 0.391 0.490 7.294
Se 14.145 8.438 11.378
Se 14.278 8.143 5.184
Se 0.589 0.082 1.100
Se 2.757 0.759 10.364
Se 12.722 6.557 8.307
Se 11.940 7.830 2.113
Se 1.988 2.010 4.170
Se 6.941 2.372 0.302
Se 9.213 3.713 5.917
Se 7.796 6.210 12.111
Se 5.510 4.892 6.496
Se 10.739 6.871 5.296
Se 3.367 2.540 0.992
Se 3.898 1.698 7.186
Se 11.296 5.983 11.490

=====

5
Lattice="-2.979 -2.871 3.507 -0.242 -4.090 -3.553 4.640 -2.162 2.172" Properties=species:S:1:pos:R:3 comment="GGA-PBE TaSbI2Br, optimized geometry" raw_formation_energy_ev_per_atom=0.184 n_ef_per_ev_cell=4.69 dft_energy_ev_per_cell=-19.83 pbc="T T T"
I -0.121 -2.045 -1.777
I -1.489 -1.435 1.754
Sb 2.320 -1.081 1.086
Br 0.710 -4.561 1.063
Ta 0.000 0.000 0.000

=====

16
Lattice="7.407 0.000 0.000 0.000 7.420 0.004 -3.703 -3.700 5.240" Properties=species:S:1:pos:R:3 comment="GGA-PBE La4PrTh3N8, optimized geometry" raw_formation_energy_ev_per_atom=-1.476 n_ef_per_ev_cell=2.77 dft_energy_ev_per_cell=-136.97 pbc="T T T"
La 3.703 0.000 0.000
La 1.852 -1.850 2.620
La 0.000 0.000 0.000
La -1.852 -1.850 2.620
Pr 0.000 3.710 0.002
Th 3.703 3.710 0.002
Th 1.852 1.860 2.622
Th -1.852 1.860 2.622
N -1.798 1.800 5.159
N 0.000 3.597 2.615
N 0.000 0.112 2.697
N 1.798 1.800 5.159
N 1.905 1.920 0.085
N 3.703 3.609 2.547
N 3.703 0.124 2.629
N 5.502 1.920 0.085

=====

11
Lattice="4.680 0.000 0.000 0.000 5.331 0.000 0.000 -2.666 4.617" Properties=species:S:1:pos:R:3 comment="GGA-PBE Nd2B6C3, optimized geometry" e_form_ev_per_atom=0.61 n_ef_per_ev_cell=1.64 dft_energy_ev_per_cell=-70.51 pbc="T T T"
Nd 0.000 2.666 1.539
Nd 0.000 0.000 3.078
B 2.340 1.779 3.082
B 2.340 -0.886 1.535
B 0.000 0.449 0.779
B 0.000 4.433 0.000
B 2.340 1.773 0.000
B 0.000 -2.216 3.839
C 2.340 0.907 1.572
C 2.340 3.517 0.000
C 2.340 -1.758 3.046

=====

5
Lattice="3.997 0.000 0.000 0.000 3.997 0.000 0.000 0.000 3.997" Properties=species:S:1:pos:R:3 comment="GGA-PBE MgAuO3, optimized geometry" raw_formation_energy_ev_per_atom=-0.249 n_ef_per_ev_cell=0.74 dft_energy_ev_per_cell=-20.99 pbc="T T T"
Mg 1.998 1.998 1.998
Au 0.000 0.000 0.000
O 0.000 1.998 0.000
O 0.000 0.000 1.998
O 1.998 0.000 0.000

=====

20
Lattice="10.989 0.000 -0.122 4.575 5.269 -3.012 -4.575 5.269 3.012" Properties=species:S:1:pos:R:3 comment="GGA-PBE SrTcN3, optimized geometry" raw_formation_energy_ev_per_atom=-0.362 n_ef_per_ev_cell=0.00 dft_energy_ev_per_cell=-155.33 pbc="T T T"
Sr 5.954 4.297 1.414
Sr 5.035 6.242 -1.536
Sr 10.529 3.440 -1.598
Sr 0.460 7.099 1.475
Tc 2.401 4.354 0.226
Tc 3.094 9.623 -0.288
Tc 8.588 6.185 -0.349
Tc 7.895 0.916 0.165
N 4.067 4.104 -0.304
N 1.427 9.374 0.243
N 6.922 6.434 0.182
N 9.562 1.165 -0.365
N 1.547 2.846 0.164
N 3.947 8.115 -0.226
N 9.442 7.693 -0.287
N 7.042 2.424 0.103
N 2.334 5.044 2.020
N 9.574 5.044 0.808
N 8.655 5.494 -2.142
N 1.415 5.494 -0.930

=====

4
Lattice="-0.461 -4.230 -2.460 -0.739 -4.198 2.447 -4.367 -2.245 -0.232" Properties=species:S:1:pos:R:3 comment="GGA-PBE HfNbSb2, optimized geometry" raw_formation_energy_ev_per_atom=-0.219 n_ef_per_ev_cell=3.18 dft_energy_ev_per_cell=-29.14 pbc="T T T"
Sb -1.392 -2.668 -0.061
Sb -4.175 -8.005 -0.183
Nb 0.000 0.000 0.000
Hf -2.783 -5.336 -0.122

=====

11
Lattice="6.135 0.000 0.000 -3.068 6.894 -0.088 0.000 -2.687 8.128" Properties=species:S:1:pos:R:3 comment="GGA-PBE Dy5Te5Ir, optimized geometry" raw_formation_energy_ev_per_atom=-1.238 n_ef_per_ev_cell=7.99 dft_energy_ev_per_cell=-61.20 pbc="T T T"
Dy 3.068 4.450 1.160
Dy 3.068 2.979 5.574
Dy 3.068 0.000 0.000
Dy 0.000 1.227 2.466
Dy 0.000 -0.243 6.881
Te 3.068 1.621 2.677
Te 3.068 0.077 6.676
Te 0.000 -1.344 4.064
Te 0.000 4.129 1.364
Te 0.000 2.586 5.363
Ir 0.000 0.000 0.000

=====

5
Lattice="-0.429 -4.403 -0.904 4.138 -0.176 -1.106 1.099 -0.983 4.268" Properties=species:S:1:pos:R:3 comment="GGA-PBE ZnCd2RhO, optimized geometry" raw_formation_energy_ev_per_atom=0.056 n_ef_per_ev_cell=4.19 dft_energy_ev_per_cell=-15.13 pbc="T T T"
Zn 2.404 -2.781 1.129
Rh 2.069 -0.088 -0.553
O 0.000 0.000 0.000
Cd 0.550 -0.492 2.134
Cd -0.214 -2.202 -0.452